# NbCrFe3 | Alexandria | meta-GGA SCAN | PBEsol geometry
data_NbCrFe3
_chemical_formula_sum 'Nb1 Cr1 Fe3'
_cell_length_a 4.424
_cell_length_b 4.424
_cell_length_c 4.424
_cell_angle_alpha 90.00
_cell_angle_beta 90.00
_cell_angle_gamma 90.00
_space_group_name_H-M_alt 'P 1'
_space_group_IT_number 1
loop_
_space_group_symop_operation_xyz
'x,y,z'
loop_
_atom_site_label
_atom_site_fract_x
_atom_site_fract_y
_atom_site_fract_z
Fe1 0.500 0.000 0.000
Fe2 0.000 0.000 0.500
Fe3 0.000 0.500 0.000
Cr1 0.500 0.500 0.500
Nb1 0.000 0.000 0.000
# Space-group type   Pm-3m
# D(E_F)   0.968 states/eV/atom
# Electronic total energy   -19.54 eV per atom
# Energy relative to the elements   8.200 eV/f.u.